No. 1
Entry from Alexandria: crystalline CeSm6Tm3 at its relaxed geometry (PBE-GGA).

a b c (Å): 5.5670 10.0197 12.3835
angles (deg): 90.00 103.65 90.00
Atoms (fractional coordinates):
Ce (0.5000, 0.5000, 0.5000)
Ce (0.0000, 0.0000, 0.0000)
Sm (0.4370, 0.8293, 0.8540)
Sm (0.4974, 0.8185, 0.5002)
Sm (0.3550, 0.4987, 0.2358)
Sm (0.6450, 0.5013, 0.7642)
Sm (0.5026, 0.1815, 0.4998)
Sm (0.5630, 0.1707, 0.1460)
Sm (0.9370, 0.6707, 0.3540)
Sm (0.9974, 0.6815, 0.0002)
Sm (0.8550, 0.0013, 0.7358)
Sm (0.1450, 0.9987, 0.2642)
Sm (0.0026, 0.3185, 0.9998)
Sm (0.0630, 0.3293, 0.6460)
Tm (0.4485, 0.1689, 0.8650)
Tm (0.5000, 0.5000, 0.0000)
Tm (0.5515, 0.8311, 0.1350)
Tm (0.9485, 0.3311, 0.3650)
Tm (0.0000, 0.0000, 0.5000)
Tm (0.0515, 0.6689, 0.6350)

Total magnetization ... 1.89 Bohr magnetons per cell
Crystal system ... monoclinic
Formation energy ... 0.23 eV/atom
Mass density ... 7.7 Mg/m³
Calculated total energy ... -4.536 eV per atom
Fermi-level density of states ... 36.21 states/eV per cell
Space-group type ... P2_1/c, No. 14

No. 2
Entry from Alexandria: crystalline CeSm6Tm5 at its relaxed geometry (PBE-GGA).

a b c (Å): 5.0593 10.0260 9.4176
angles (deg): 122.16 105.59 90.00
Atoms (fractional coordinates):
Tm (0.6663, 0.1662, 0.3324)
Tm (0.3323, 0.3321, 0.6643)
Tm (0.0000, 0.5000, 0.0000)
Tm (0.6677, 0.6679, 0.3357)
Tm (0.3337, 0.8338, 0.6676)
Ce (0.0000, 0.0000, 0.0000)
Sm (0.8349, 0.5847, 0.6698)
Sm (0.8349, 0.0850, 0.6698)
Sm (0.5000, 0.7508, 0.0000)
Sm (0.5000, 0.2492, 0.0000)
Sm (0.1651, 0.9150, 0.3302)
Sm (0.1651, 0.4153, 0.3302)

Total magnetization ... 1.12 Bohr magnetons per cell
Crystal system ... orthorhombic
Formation energy ... 0.04 eV/atom
Mass density ... 8.2 Mg/m³
Calculated total energy ... -4.678 eV per atom
Fermi-level density of states ... 19.37 states/eV per cell
Space-group type ... Immm, No. 71

No. 3
Entry from Alexandria: crystalline Ce2SmTm at its relaxed geometry (PBE-GGA).

a b c (Å): 3.5012 3.5012 11.7480
angles (deg): 81.43 81.43 60.00
Atoms (fractional coordinates):
Ce (0.0850, 0.0850, 0.7451)
Ce (0.2477, 0.2477, 0.2568)
Sm (0.6681, 0.6681, 0.9957)
Tm (0.4992, 0.4992, 0.5024)

Total magnetization ... 1.63 Bohr magnetons per cell
Crystal system ... trigonal
Formation energy ... 0.09 eV/atom
Mass density ... 8.1 Mg/m³
Calculated total energy ... -5.170 eV per atom
Fermi-level density of states ... 10.52 states/eV per cell
ΔE to the lowest computed polymorph ... 0.0000 eV/atom
Space-group type ... R3m, No. 160

No. 4
Entry from Alexandria: crystalline CeSmY3Tm at its relaxed geometry (PBE-GGA).

a b c (Å): 5.0511 7.9482 10.0828
angles (deg): 90.00 90.00 108.53
Atoms (fractional coordinates):
Ce (0.4988, 0.9977, 0.7500)
Ce (0.5012, 0.0023, 0.2500)
Sm (0.0000, 0.0000, 0.5000)
Sm (0.0000, 0.0000, 0.0000)
Y (0.6646, 0.3293, 0.4996)
Y (0.3354, 0.6707, 0.5004)
Y (0.3354, 0.6707, 0.9996)
Y (0.6646, 0.3293, 0.0004)
Y (0.1670, 0.3340, 0.7500)
Y (0.8330, 0.6660, 0.2500)
Tm (0.8337, 0.6675, 0.7500)
Tm (0.1663, 0.3325, 0.2500)

Total magnetization ... 2.17 Bohr magnetons per cell
Crystal system ... orthorhombic
Formation energy ... 0.06 eV/atom
Mass density ... 6.3 Mg/m³
Calculated total energy ... -5.692 eV per atom
Fermi-level density of states ... 23.09 states/eV per cell
Space-group type ... Cmcm, No. 63

No. 5
Entry from Alexandria: crystalline Ce2Sm3Y6Tm at its relaxed geometry (PBE-GGA).

a b c (Å): 6.1889 6.1889 11.8017
angles (deg): 95.01 95.01 119.98
Atoms (fractional coordinates):
Ce (0.3336, 0.6664, 0.0000)
Ce (0.6664, 0.3336, 0.0000)
Sm (0.1661, 0.8339, 0.5000)
Sm (0.8339, 0.1661, 0.5000)
Sm (0.5000, 0.5000, 0.5000)
Y (0.9175, 0.5827, 0.7535)
Y (0.7476, 0.7476, 0.2468)
Y (0.0825, 0.4173, 0.2465)
Y (0.5827, 0.9175, 0.7535)
Y (0.2524, 0.2524, 0.7532)
Y (0.4173, 0.0825, 0.2465)
Tm (0.0000, 0.0000, 0.0000)

Total magnetization ... 1.90 Bohr magnetons per cell
Crystal system ... monoclinic
Formation energy ... 0.05 eV/atom
Mass density ... 6.2 Mg/m³
Calculated total energy ... -5.727 eV per atom
Fermi-level density of states ... 21.16 states/eV per cell
Space-group type ... C2/m, No. 12

No. 6
Entry from Alexandria: crystalline Ce2Sm3YTm6 at its relaxed geometry (PBE-GGA).

a b c (Å): 6.1262 6.1262 11.6382
angles (deg): 95.03 95.03 119.97
Atoms (fractional coordinates):
Ce (0.3336, 0.6664, 0.0000)
Ce (0.6664, 0.3336, 0.0000)
Sm (0.1659, 0.8341, 0.5000)
Sm (0.8341, 0.1659, 0.5000)
Sm (0.5000, 0.5000, 0.5000)
Y (0.0000, 0.0000, 0.0000)
Tm (0.9171, 0.5812, 0.7525)
Tm (0.7470, 0.7470, 0.2476)
Tm (0.0829, 0.4188, 0.2475)
Tm (0.5812, 0.9171, 0.7525)
Tm (0.2530, 0.2530, 0.7524)
Tm (0.4188, 0.0829, 0.2475)

Total magnetization ... 1.82 Bohr magnetons per cell
Crystal system ... monoclinic
Formation energy ... 0.05 eV/atom
Mass density ... 8.2 Mg/m³
Calculated total energy ... -4.897 eV per atom
Fermi-level density of states ... 19.57 states/eV per cell
Space-group type ... C2/m, No. 12